# 1
Li4GaAg2: relaxed, PBE.

Values from the calculation:
- N(E_F) (states/eV/atom) = 0.455
- uncorrected energy (eV for the cell shown) = -31.1
- ΔE_f (meV per atom) = 121
- spin magnetization (Bohr magnetons per cell) = 0.0
- relative energy among the computed polymorphs (eV/f.u.) = 1.881

```
data_Li4GaAg2
_cell_length_a 4.708
_cell_length_b 4.708
_cell_length_c 13.360
_cell_angle_alpha 90.00
_cell_angle_beta 90.00
_cell_angle_gamma 90.00
_space_group_name_H-M_alt 'I 4/m m m'
_space_group_IT_number 139
_space_group_name_Hall '-I 4 2'
loop_
_atom_site_label
_atom_site_type_symbol
_atom_site_fract_x
_atom_site_fract_y
_atom_site_fract_z
Li1 Li 0.000 0.000 0.193
Li2 Li 0.000 0.500 0.000
Ga1 Ga 0.000 0.000 0.000
Ag1 Ag 0.000 0.000 0.394
```

---

# 2
Li5Ga2Ag3: relaxed, PBE.

Values from the calculation:
- N(E_F) (states/eV/atom) = 0.298
- uncorrected energy (eV for the cell shown) = -100.8
- ΔE_f (meV per atom) = -101
- spin magnetization (Bohr magnetons per cell) = 0.0

```
data_Li5Ga2Ag3
_cell_length_a 9.398
_cell_length_b 13.707
_cell_length_c 5.148
_cell_angle_alpha 90.00
_cell_angle_beta 90.00
_cell_angle_gamma 90.00
_space_group_name_H-M_alt 'I b a m'
_space_group_IT_number 72
_space_group_name_Hall '-I 2 2c'
loop_
_atom_site_label
_atom_site_type_symbol
_atom_site_fract_x
_atom_site_fract_y
_atom_site_fract_z
Li1 Li 0.000 0.000 0.250
Li2 Li 0.079 0.329 0.000
Li3 Li 0.245 0.000 0.250
Ga1 Ga 0.094 0.162 0.500
Ag1 Ag 0.000 0.500 0.250
Ag2 Ag 0.249 0.328 0.500
```

---

# 3
Li3Ga8Ag: relaxed, PBE.

Values from the calculation:
- N(E_F) (states/eV/atom) = 0.439
- uncorrected energy (eV for the cell shown) = -64.3
- ΔE_f (meV per atom) = 53
- spin magnetization (Bohr magnetons per cell) = 0.0

```
data_Li3Ga8Ag
_cell_length_a 7.317
_cell_length_b 7.317
_cell_length_c 9.129
_cell_angle_alpha 90.00
_cell_angle_beta 90.00
_cell_angle_gamma 90.00
_space_group_name_H-M_alt 'I -4 2 m'
_space_group_IT_number 121
_space_group_name_Hall 'I -4 2'
loop_
_atom_site_label
_atom_site_type_symbol
_atom_site_fract_x
_atom_site_fract_y
_atom_site_fract_z
Li1 Li 0.000 0.000 0.000
Li2 Li 0.000 0.500 0.250
Ga1 Ga 0.127 0.127 0.775
Ga2 Ga 0.239 0.239 0.038
Ag1 Ag 0.000 0.000 0.500
```

---

# 4
Li8Ga6Ag: relaxed, PBE.

Values from the calculation:
- N(E_F) (states/eV/atom) = 0.245
- uncorrected energy (eV for the cell shown) = -119.2
- ΔE_f (meV per atom) = -227
- spin magnetization (Bohr magnetons per cell) = 0.0

```
data_Li8Ga6Ag
_cell_length_a 7.1407
_cell_length_b 7.1407
_cell_length_c 17.0190
_cell_angle_alpha 90.00
_cell_angle_beta 90.00
_cell_angle_gamma 120.00
_space_group_name_H-M_alt 'R -3'
_space_group_IT_number 148
_space_group_name_Hall '-R 3'
loop_
_atom_site_label
_atom_site_type_symbol
_atom_site_fract_x
_atom_site_fract_y
_atom_site_fract_z
Li1 Li 0.0000 0.0000 0.0898
Li2 Li 0.0360 0.2703 0.6251
Ga1 Ga 0.0022 0.2647 0.7875
Ag1 Ag 0.0000 0.0000 0.5000
```

---

# 5
LiGa4Ag5: relaxed, PBE.

Values from the calculation:
- N(E_F) (states/eV/atom) = 0.363
- uncorrected energy (eV for the cell shown) = -55.7
- ΔE_f (meV per atom) = 44
- spin magnetization (Bohr magnetons per cell) = 0.0
- relative energy among the computed polymorphs (eV/f.u.) = 1.175

```
data_LiGa4Ag5
_cell_length_a 5.599
_cell_length_b 9.514
_cell_length_c 7.520
_cell_angle_alpha 90.00
_cell_angle_beta 90.00
_cell_angle_gamma 90.00
_space_group_name_H-M_alt 'P m m n'
_space_group_IT_number 59
loop_
_space_group_symop_operation_xyz
'x,y,z'
'-x,-y,-z'
'-x+1/2,-y+1/2,z'
'x+1/2,y+1/2,-z'
'x+1/2,-y,-z'
'-x+1/2,y,z'
'-x,y+1/2,-z'
'x,-y+1/2,z'
loop_
_atom_site_label
_atom_site_type_symbol
_atom_site_fract_x
_atom_site_fract_y
_atom_site_fract_z
Li1 Li 0.250 0.250 0.093
Ga1 Ga 0.010 0.250 0.478
Ga2 Ga 0.250 0.558 0.984
Ag1 Ag 0.000 0.005 0.307
Ag2 Ag 0.250 0.750 0.220
```

---

# 6
Li2GaAg2: relaxed, PBE.

Values from the calculation:
- N(E_F) (states/eV/atom) = 0.390
- uncorrected energy (eV for the cell shown) = -26.3
- ΔE_f (meV per atom) = -114
- spin magnetization (Bohr magnetons per cell) = 0.0
- relative energy among the computed polymorphs (eV/f.u.) = 0.512

```
data_Li2GaAg2
_cell_length_a 7.064
_cell_length_b 7.064
_cell_length_c 3.236
_cell_angle_alpha 90.00
_cell_angle_beta 90.00
_cell_angle_gamma 90.00
_space_group_name_H-M_alt 'P 4/m b m'
_space_group_IT_number 127
_space_group_name_Hall '-P 4 2ab'
loop_
_atom_site_label
_atom_site_type_symbol
_atom_site_fract_x
_atom_site_fract_y
_atom_site_fract_z
Li1 Li 0.137 0.363 0.000
Ga1 Ga 0.000 0.000 0.000
Ag1 Ag 0.160 0.660 0.500
```

---

# 7
Li5GaAg4: relaxed, PBE.

Values from the calculation:
- N(E_F) (states/eV/atom) = 0.261
- uncorrected energy (eV for the cell shown) = -26.2
- ΔE_f (meV per atom) = -223
- spin magnetization (Bohr magnetons per cell) = 0.0

```
data_Li5GaAg4
_cell_length_a 2.998
_cell_length_b 2.998
_cell_length_c 17.790
_cell_angle_alpha 90.00
_cell_angle_beta 90.00
_cell_angle_gamma 90.00
_space_group_name_H-M_alt 'P 4/m m m'
_space_group_IT_number 123
_space_group_name_Hall '-P 4 2'
loop_
_atom_site_label
_atom_site_type_symbol
_atom_site_fract_x
_atom_site_fract_y
_atom_site_fract_z
Li1 Li 0.000 0.000 0.000
Li2 Li 0.000 0.000 0.203
Li3 Li 0.000 0.000 0.404
Ga1 Ga 0.500 0.500 0.500
Ag1 Ag 0.500 0.500 0.102
Ag2 Ag 0.500 0.500 0.305
```

---

# 8
LiGaAg2: relaxed, PBE.

Values from the calculation:
- N(E_F) (states/eV/atom) = 0.259
- uncorrected energy (eV for the cell shown) = -11.4
- ΔE_f (meV per atom) = -183
- spin magnetization (Bohr magnetons per cell) = 0.0

```
data_LiGaAg2
_cell_length_a 4.342
_cell_length_b 4.342
_cell_length_c 3.475
_cell_angle_alpha 90.00
_cell_angle_beta 90.00
_cell_angle_gamma 90.00
_space_group_name_H-M_alt 'P 4/m m m'
_space_group_IT_number 123
_space_group_name_Hall '-P 4 2'
loop_
_atom_site_label
_atom_site_type_symbol
_atom_site_fract_x
_atom_site_fract_y
_atom_site_fract_z
Li1 Li 0.000 0.000 0.000
Ga1 Ga 0.500 0.500 0.000
Ag1 Ag 0.000 0.500 0.500
```

---

# 9
Li3GaAg: relaxed, PBE.

Values from the calculation:
- N(E_F) (states/eV/atom) = 0.775
- uncorrected energy (eV for the cell shown) = -10.4
- ΔE_f (meV per atom) = 251
- spin magnetization (Bohr magnetons per cell) = 0.0
- relative energy among the computed polymorphs (eV/f.u.) = 2.522

```
data_Li3GaAg
_cell_length_a 4.756
_cell_length_b 4.756
_cell_length_c 4.756
_cell_angle_alpha 90.00
_cell_angle_beta 90.00
_cell_angle_gamma 90.00
_space_group_name_H-M_alt 'P m -3 m'
_space_group_IT_number 221
_space_group_name_Hall '-P 4 2 3'
loop_
_atom_site_label
_atom_site_type_symbol
_atom_site_fract_x
_atom_site_fract_y
_atom_site_fract_z
Li1 Li 0.000 0.000 0.500
Ga1 Ga 0.000 0.000 0.000
Ag1 Ag 0.500 0.500 0.500
```

---

# 10
LiGa3Ag: relaxed, PBE.

Values from the calculation:
- N(E_F) (states/eV/atom) = 0.644
- uncorrected energy (eV for the cell shown) = -40.0
- ΔE_f (meV per atom) = 101
- spin magnetization (Bohr magnetons per cell) = 0.0
- relative energy among the computed polymorphs (eV/f.u.) = 0.888

```
data_LiGa3Ag
_cell_length_a 7.0567
_cell_length_b 7.0567
_cell_length_c 7.5114
_cell_angle_alpha 90.00
_cell_angle_beta 90.00
_cell_angle_gamma 120.00
_space_group_name_H-M_alt 'R 3 m'
_space_group_IT_number 160
_space_group_name_Hall 'R 3 -2"'
loop_
_atom_site_label
_atom_site_type_symbol
_atom_site_fract_x
_atom_site_fract_y
_atom_site_fract_z
Li1 Li 0.0000 0.0000 0.0000
Ga1 Ga 0.2064 0.4127 0.3373
Ag1 Ag 0.0000 0.0000 0.3493
```

---

# 11
Li5Ga2Ag4: relaxed, PBE.

Values from the calculation:
- N(E_F) (states/eV/atom) = 0.330
- uncorrected energy (eV for the cell shown) = -57.1
- ΔE_f (meV per atom) = -137
- spin magnetization (Bohr magnetons per cell) = 0.0
- relative energy among the computed polymorphs (eV/f.u.) = 0.255

```
data_Li5Ga2Ag4
_cell_length_a 4.435
_cell_length_b 7.799
_cell_length_c 10.656
_cell_angle_alpha 90.00
_cell_angle_beta 90.00
_cell_angle_gamma 90.00
_space_group_name_H-M_alt 'I m m m'
_space_group_IT_number 71
_space_group_name_Hall '-I 2 2'
loop_
_atom_site_label
_atom_site_type_symbol
_atom_site_fract_x
_atom_site_fract_y
_atom_site_fract_z
Li1 Li 0.000 0.000 0.000
Li2 Li 0.000 0.172 0.239
Ga1 Ga 0.000 0.500 0.120
Ag1 Ag 0.000 0.186 0.500
Ag2 Ag 0.000 0.500 0.362
```

---

# 12
Li3GaAg: relaxed, PBE.

Values from the calculation:
- N(E_F) (states/eV/atom) = 0.436
- uncorrected energy (eV for the cell shown) = -25.2
- ΔE_f (meV per atom) = -192
- spin magnetization (Bohr magnetons per cell) = 0.0
- relative energy among the computed polymorphs (eV/f.u.) = 0.307

```
data_Li3GaAg
_cell_length_a 4.446
_cell_length_b 5.559
_cell_length_c 7.043
_cell_angle_alpha 90.00
_cell_angle_beta 108.28
_cell_angle_gamma 90.00
_space_group_name_H-M_alt 'P 1 21/m 1'
_space_group_IT_number 11
loop_
_space_group_symop_operation_xyz
'x,y,z'
'-x,-y,-z'
'-x,y+1/2,-z'
'x,-y+1/2,z'
loop_
_atom_site_label
_atom_site_type_symbol
_atom_site_fract_x
_atom_site_fract_y
_atom_site_fract_z
Li1 Li 0.108 0.006 0.214
Li2 Li 0.315 0.250 0.627
Ga1 Ga 0.285 0.750 0.577
Ag1 Ag 0.482 0.750 0.969
```